{
  "formula": "Zr3BePb",
  "functional": "GGA-PBEsol",
  "state": "optimized geometry",
  "total_magnetization_mub_per_fu": 0.00,
  "sg": "Pm-3m",
  "delta_e_f_ev_per_atom": 1.52,
  "final_energy_ev_per_atom": -5.529,
  "lattice_angstrom": [[-5.207, 0.885, 0.082], [-0.817, -4.575, -2.511], [-0.349, -2.488, 4.647]],
  "species": ["Pb", "Be", "Zr", "Zr", "Zr"],
  "frac_coords": [[0.000, 0.000, 0.000], [0.500, 0.500, 0.500], [0.000, 0.500, 0.000], [0.000, 0.000, 0.500], [0.500, 0.000, 0.000]]
}

{
  "formula": "SnMo3H",
  "functional": "GGA-PBEsol",
  "state": "optimized geometry",
  "total_magnetization_mub_per_fu": 0.00,
  "sg": "Pm-3m",
  "final_energy_ev_per_atom": -8.368,
  "lattice_angstrom": [[4.067, 0.000, 0.000], [0.000, 4.067, 0.000], [0.000, 0.000, 4.067]],
  "species": ["H", "Mo", "Mo", "Mo", "Sn"],
  "frac_coords": [[0.000, 0.000, 0.000], [0.000, 0.500, 0.000], [0.000, 0.000, 0.500], [0.500, 0.000, 0.000], [0.500, 0.500, 0.500]]
}

{
  "formula": "BeAg3Sn",
  "functional": "GGA-PBEsol",
  "state": "optimized geometry",
  "total_magnetization_mub_per_fu": 0.00,
  "sg": "Pm-3m",
  "delta_e_f_ev_per_atom": 1.14,
  "final_energy_ev_per_atom": -2.496,
  "lattice_angstrom": [[-1.131, 4.835, -1.099], [-4.490, -0.520, 2.331], [2.104, 1.489, 4.384]],
  "species": ["Be", "Sn", "Ag", "Ag", "Ag"],
  "frac_coords": [[0.500, 0.500, 0.500], [0.000, 0.000, 0.000], [0.000, 0.500, 0.000], [0.000, 0.000, 0.500], [0.500, 0.000, 0.000]]
}

{
  "formula": "DyNi2B2C",
  "functional": "GGA-PBEsol",
  "state": "optimized geometry",
  "total_magnetization_mub_per_fu": 0.00,
  "sg": "I4/mmm",
  "delta_e_f_ev_per_atom": -0.56,
  "final_energy_ev_per_atom": -7.393,
  "lattice_angstrom": [[-0.920, -3.248, -0.919], [3.054, -0.395, -1.660], [1.045, 0.000, 5.610]],
  "species": ["Ni", "Ni", "C", "B", "B", "Dy"],
  "frac_coords": [[0.250, 0.750, 0.500], [0.750, 0.250, 0.500], [0.500, 0.500, 0.000], [0.645, 0.645, 0.290], [0.355, 0.355, 0.710], [0.000, 0.000, 0.000]]
}

{
  "formula": "BeTlIn2",
  "functional": "GGA-PBEsol",
  "state": "optimized geometry",
  "total_magnetization_mub_per_fu": 0.00,
  "sg": "P4/mmm",
  "delta_e_f_ev_per_atom": 0.29,
  "de_polymorph_ev_per_atom": 0.000,
  "final_energy_ev_per_atom": -2.861,
  "lattice_angstrom": [[3.157, 0.000, 0.000], [0.000, 3.157, 0.000], [0.000, 0.000, 8.735]],
  "species": ["Be", "Tl", "In", "In"],
  "frac_coords": [[0.500, 0.500, 0.500], [0.500, 0.500, 0.000], [0.000, 0.000, 0.692], [0.000, 0.000, 0.308]]
}

{
  "formula": "AgAu2",
  "functional": "GGA-PBEsol",
  "state": "optimized geometry",
  "total_magnetization_mub_per_fu": 0.00,
  "sg": "P6_3/mmc",
  "delta_e_f_ev_per_atom": 0.04,
  "de_polymorph_ev_per_atom": 0.089,
  "final_energy_ev_per_atom": -3.681,
  "lattice_angstrom": [[4.637, 0.000, 0.000], [-2.318, 4.016, 0.000], [0.000, 0.000, 5.496]],
  "species": ["Au", "Au", "Au", "Au", "Ag", "Ag"],
  "frac_coords": [[0.000, 0.000, 0.000], [0.000, 0.000, 0.500], [0.667, 0.333, 0.250], [0.333, 0.667, 0.750], [0.667, 0.333, 0.750], [0.333, 0.667, 0.250]]
}

no.,N(E_F) (states/eV/atom)
1,0.9179
2,1.0742
3,0.4322
4,0.4354
5,0.3747
6,0.2900